No. 1
VASP calculation (PBE-GGA) on NaHIO2 after structural relaxation.

Cell: 4.3487 4.3487 6.5285 Å, 90.00 90.00 90.00°
With the nearest neighbours (Å) after each atom.
Fractional coordinates of all 5 atoms:
1 Na 0.0000 0.0000 0.0000  4 O 2.17
2 H 0.5000 0.5000 0.5000  4 I 3.07
3 I 0.0000 0.0000 0.5000  4 H 3.07, 2 Na 3.26
4 O 0.0000 0.5000 0.0000  2 Na 2.17
5 O 0.5000 0.0000 0.0000  2 Na 2.17

Computed properties:
The value obtained for the density of states at the Fermi level is 0.487 states/eV per atom. For the total DFT energy (no corrections), the calculation gives -2.365 eV/atom. Its crystal system is tetragonal. The calculation puts the distance to the lowest polymorph of the same formula at 10.83 kcal/mol of atoms.

No. 2
VASP calculation (PBE-GGA) on CuIr2Cl after structural relaxation.

Cell: 4.4800 4.4800 2.8593 Å, 90.00 90.00 90.00°
With the nearest neighbours (Å) after each atom.
Fractional coordinates of all 4 atoms:
1 Cu 0.0000 0.0000 0.0000  8 Ir 2.66, 2 Cu 2.86
2 Ir 0.0000 0.5000 0.5000  4 Cl 2.66, 4 Cu 2.66, 2 Ir 2.86
3 Ir 0.5000 0.0000 0.5000  4 Cl 2.66, 4 Cu 2.66, 2 Ir 2.86
4 Cl 0.5000 0.5000 0.0000  8 Ir 2.66, 2 Cl 2.86

Computed properties:
The value obtained for the density of states at the Fermi level is 1.365 states/eV per atom. The calculation puts the uncorrected formation energy at 0.98 eV per atom. For the total DFT energy (no corrections), the calculation gives -4.933 eV/atom. Its crystal system is tetragonal. The calculation puts the distance to the lowest polymorph of the same formula at 16.19 kcal/mol of atoms.

No. 3
VASP calculation (PBE-GGA) on Pu2SOF2 after structural relaxation.

Cell: 3.9467 6.9165 7.2648 Å, 90.00 90.00 90.00°
With the nearest neighbours (Å) after each atom.
Fractional coordinates of all 12 atoms:
1 Pu 0.0000 0.0994 0.0000  2 O 2.30-2.49, 1 F 2.54
2 Pu 0.0000 0.9006 0.5000  2 O 2.30-2.49, 1 F 2.54
3 Pu 0.5000 0.3512 0.6071  4 F 2.30-2.49, 2 O 2.33
4 Pu 0.5000 0.6488 0.1071  4 F 2.30-2.49, 2 O 2.33
5 S 0.5000 0.1185 0.3043  5 Pu 2.73-2.97, 2 O 3.04
6 S 0.5000 0.8815 0.8043  5 Pu 2.73-2.97, 2 O 3.04
7 O 0.0000 0.1838 0.6663  4 Pu 2.30-2.49
8 O 0.0000 0.8162 0.1663  4 Pu 2.30-2.49
9 F 0.0000 0.4402 0.1309  3 Pu 2.45-2.54, 2 F 2.57, 1 O 2.61
10 F 0.0000 0.5598 0.6309  3 Pu 2.45-2.54, 2 F 2.57, 1 O 2.61
11 F 0.5000 0.3443 0.9239  2 Pu 2.30-2.49, 2 F 2.57
12 F 0.5000 0.6557 0.4239  2 Pu 2.30-2.49, 2 F 2.57

Computed properties:
The value obtained for the density of states at the Fermi level is 2.026 states/eV per atom. The calculation puts the uncorrected formation energy at -2.90 eV per atom. For the total DFT energy (no corrections), the calculation gives -9.811 eV/atom. Its crystal system is orthorhombic.

No. 4
VASP calculation (PBE-GGA) on GeSbO5 after structural relaxation.

Cell: 5.2566 5.2566 5.2566 Å, 141.28 105.11 87.65°
With the nearest neighbours (Å) after each atom.
Fractional coordinates of all 7 atoms:
1 Ge 0.0000 0.0000 0.0000  4 O 1.74-1.89
2 Sb 0.5000 0.5000 0.0000  2 O 1.90
3 O 0.0000 0.5000 0.5000  2 Ge 1.74
4 O 0.2489 0.2489 0.0000  1 Ge 1.89, 1 Sb 1.90
5 O 0.3065 0.0000 0.3065  1 Ge 1.96, 2 Sb 2.14
6 O 0.6935 0.0000 0.6935  1 Ge 1.96, 2 Sb 2.14
7 O 0.7511 0.7511 0.0000  1 Ge 1.89, 1 Sb 1.90

Computed properties:
The value obtained for the density of states at the Fermi level is 0.515 states/eV per atom. The calculation puts the uncorrected formation energy at -0.99 eV per atom. For the total DFT energy (no corrections), the calculation gives -5.784 eV/atom. Its crystal system is orthorhombic.

No. 5
VASP calculation (PBE-GGA) on Be3Ge5Au12 after structural relaxation.

Cell: 12.7965 12.7965 12.7965 Å, 109.47 109.47 109.47°
With the nearest neighbours (Å) after each atom.
Fractional coordinates of all 80 atoms:
1 Be 0.1250 0.2500 0.3750  4 Au 2.38
2 Be 0.1250 0.3750 0.7500  4 Au 2.38
3 Be 0.2500 0.3750 0.1250  4 Au 2.38
4 Be 0.2500 0.8750 0.6250  4 Au 2.38
5 Be 0.3750 0.1250 0.2500  4 Au 2.38
6 Be 0.3750 0.7500 0.1250  4 Au 2.38
7 Be 0.6250 0.2500 0.8750  4 Au 2.38
8 Be 0.6250 0.8750 0.7500  4 Au 2.38
9 Be 0.7500 0.1250 0.3750  4 Au 2.38
10 Be 0.7500 0.6250 0.8750  4 Au 2.38
11 Be 0.8750 0.6250 0.2500  4 Au 2.38
12 Be 0.8750 0.7500 0.6250  4 Au 2.38
13 Ge 0.0000 0.0000 0.0000  6 Au 2.58
14 Ge 0.0000 0.0000 0.5000  6 Au 2.58
15 Ge 0.0000 0.5000 0.0000  6 Au 2.58
16 Ge 0.0000 0.5000 0.5000  6 Au 2.58
17 Ge 0.1250 0.7500 0.8750  4 Au 2.55
18 Ge 0.1250 0.8750 0.2500  4 Au 2.55
19 Ge 0.2500 0.1250 0.8750  4 Au 2.55
20 Ge 0.2500 0.6250 0.3750  4 Au 2.55
21 Ge 0.3750 0.2500 0.6250  4 Au 2.55
22 Ge 0.3750 0.6250 0.7500  4 Au 2.55
23 Ge 0.5000 0.0000 0.0000  6 Au 2.58
24 Ge 0.5000 0.0000 0.5000  6 Au 2.58
25 Ge 0.5000 0.5000 0.0000  6 Au 2.58
26 Ge 0.5000 0.5000 0.5000  6 Au 2.58
27 Ge 0.6250 0.3750 0.2500  4 Au 2.55
28 Ge 0.6250 0.7500 0.3750  4 Au 2.55
29 Ge 0.7500 0.3750 0.6250  4 Au 2.55
30 Ge 0.7500 0.8750 0.1250  4 Au 2.55
31 Ge 0.8750 0.1250 0.7500  4 Au 2.55
32 Ge 0.8750 0.2500 0.1250  4 Au 2.55
33 Au 0.0546 0.6249 0.3861  1 Be 2.38, 2 Ge 2.55-2.58
34 Au 0.0546 0.9297 0.6685  1 Be 2.38, 2 Ge 2.55-2.58
35 Au 0.0703 0.2388 0.1249  1 Be 2.38, 2 Ge 2.55-2.58
36 Au 0.0703 0.3315 0.9454  1 Be 2.38, 2 Ge 2.55-2.58
37 Au 0.1139 0.7388 0.6685  1 Be 2.38, 2 Ge 2.55-2.58
38 Au 0.1139 0.8751 0.4454  1 Be 2.38, 2 Ge 2.55-2.58
39 Au 0.1249 0.0703 0.2388  1 Be 2.38, 2 Ge 2.55-2.58
40 Au 0.1249 0.5546 0.8861  1 Be 2.38, 2 Ge 2.55-2.58
41 Au 0.1685 0.2388 0.6139  1 Be 2.38, 2 Ge 2.55-2.58
42 Au 0.1685 0.4297 0.5546  1 Be 2.38, 2 Ge 2.55-2.58
43 Au 0.2388 0.1249 0.0703  1 Be 2.38, 2 Ge 2.55-2.58
44 Au 0.2388 0.6139 0.1685  1 Be 2.38, 2 Ge 2.55-2.58
45 Au 0.2612 0.3315 0.8861  1 Be 2.38, 2 Ge 2.55-2.58
46 Au 0.2612 0.4297 0.3751  1 Be 2.38, 2 Ge 2.55-2.58
47 Au 0.3315 0.8861 0.2612  1 Be 2.38, 2 Ge 2.55-2.58
48 Au 0.3315 0.9454 0.0703  1 Be 2.38, 2 Ge 2.55-2.58
49 Au 0.3751 0.2612 0.4297  1 Be 2.38, 2 Ge 2.55-2.58
50 Au 0.3751 0.6139 0.9454  1 Be 2.38, 2 Ge 2.55-2.58
51 Au 0.3861 0.0546 0.6249  1 Be 2.38, 2 Ge 2.55-2.58
52 Au 0.3861 0.8315 0.7612  1 Be 2.38, 2 Ge 2.55-2.58
53 Au 0.4297 0.3751 0.2612  1 Be 2.38, 2 Ge 2.55-2.58
54 Au 0.4297 0.5546 0.1685  1 Be 2.38, 2 Ge 2.55-2.58
55 Au 0.4454 0.1139 0.8751  1 Be 2.38, 2 Ge 2.55-2.58
56 Au 0.4454 0.8315 0.5703  1 Be 2.38, 2 Ge 2.55-2.58
57 Au 0.5546 0.1685 0.4297  1 Be 2.38, 2 Ge 2.55-2.58
58 Au 0.5546 0.8861 0.1249  1 Be 2.38, 2 Ge 2.55-2.58
59 Au 0.5703 0.4454 0.8315  1 Be 2.38, 2 Ge 2.55-2.58
60 Au 0.5703 0.6249 0.7388  1 Be 2.38, 2 Ge 2.55-2.58
61 Au 0.6139 0.1685 0.2388  1 Be 2.38, 2 Ge 2.55-2.58
62 Au 0.6139 0.9454 0.3751  1 Be 2.38, 2 Ge 2.55-2.58
63 Au 0.6249 0.3861 0.0546  1 Be 2.38, 2 Ge 2.55-2.58
64 Au 0.6249 0.7388 0.5703  1 Be 2.38, 2 Ge 2.55-2.58
65 Au 0.6685 0.0546 0.9297  1 Be 2.38, 2 Ge 2.55-2.58
66 Au 0.6685 0.1139 0.7388  1 Be 2.38, 2 Ge 2.55-2.58
67 Au 0.7388 0.5703 0.6249  1 Be 2.38, 2 Ge 2.55-2.58
68 Au 0.7388 0.6685 0.1139  1 Be 2.38, 2 Ge 2.55-2.58
69 Au 0.7612 0.3861 0.8315  1 Be 2.38, 2 Ge 2.55-2.58
70 Au 0.7612 0.8751 0.9297  1 Be 2.38, 2 Ge 2.55-2.58
71 Au 0.8315 0.5703 0.4454  1 Be 2.38, 2 Ge 2.55-2.58
72 Au 0.8315 0.7612 0.3861  1 Be 2.38, 2 Ge 2.55-2.58
73 Au 0.8751 0.4454 0.1139  1 Be 2.38, 2 Ge 2.55-2.58
74 Au 0.8751 0.9297 0.7612  1 Be 2.38, 2 Ge 2.55-2.58
75 Au 0.8861 0.1249 0.5546  1 Be 2.38, 2 Ge 2.55-2.58
76 Au 0.8861 0.2612 0.3315  1 Be 2.38, 2 Ge 2.55-2.58
77 Au 0.9297 0.6685 0.0546  1 Be 2.38, 2 Ge 2.55-2.58
78 Au 0.9297 0.7612 0.8751  1 Be 2.38, 2 Ge 2.55-2.58
79 Au 0.9454 0.0703 0.3315  1 Be 2.38, 2 Ge 2.55-2.58
80 Au 0.9454 0.3751 0.6139  1 Be 2.38, 2 Ge 2.55-2.58

Computed properties:
The value obtained for the density of states at the Fermi level is 0.320 states/eV per atom. For the formation enthalpy at 0 K, the calculation gives 0.131 eV per atom. For the total DFT energy (no corrections), the calculation gives -3.549 eV/atom. Its crystal system is cubic.

No. 6
VASP calculation (PBE-GGA) on Pr2ZnHRh6 after structural relaxation.

Cell: 6.1836 6.1836 6.1836 Å, 119.95 119.95 90.08°
With the nearest neighbours (Å) after each atom.
Fractional coordinates of all 10 atoms:
1 Pr 0.2500 0.7500 0.5000  12 Rh 3.10
2 Pr 0.7500 0.2500 0.5000  12 Rh 3.10
3 Zn 0.0000 0.0000 0.0000  6 Rh 2.42
4 H 0.5000 0.5000 0.0000  6 Rh 1.95
5 Rh 0.2773 0.2773 0.0000  1 H 1.95
6 Rh 0.2771 0.2771 0.5542  1 H 1.95
7 Rh 0.2771 0.7229 0.0000  1 H 1.95
8 Rh 0.7229 0.2771 0.0000  1 H 1.95
9 Rh 0.7227 0.7227 0.0000  1 H 1.95
10 Rh 0.7229 0.7229 0.4458  1 H 1.95

Computed properties:
The value obtained for the density of states at the Fermi level is 1.055 states/eV per atom. For the total DFT energy (no corrections), the calculation gives -6.151 eV/atom. Its crystal system is tetragonal.

No. 7
VASP calculation (PBE-GGA) on LiCdTeMoBr after structural relaxation.

Cell: 5.0224 5.0224 7.8692 Å, 110.17 110.17 39.93°
With the nearest neighbours (Å) after each atom.
Fractional coordinates of all 5 atoms:
1 Li 0.0000 0.0000 0.0000  2 Br 2.53
2 Cd 0.6923 0.6923 0.4031  2 Mo 2.89
3 Te 0.5371 0.5371 0.7087  3 Mo 2.66-2.69
4 Mo 0.2547 0.2547 0.7176  3 Te 2.66-2.69, 1 Br 2.75, 2 Cd 2.89
5 Br 0.3444 0.3444 0.0923  2 Li 2.53, 1 Mo 2.75

Computed properties:
The value obtained for the density of states at the Fermi level is 0.436 states/eV per atom. The calculation puts the uncorrected formation energy at -0.14 eV per atom. For the total DFT energy (no corrections), the calculation gives -3.830 eV/atom. Its crystal system is monoclinic. The calculation puts the distance to the lowest polymorph of the same formula at 5.75 kcal/mol of atoms.

No. 8
VASP calculation (PBE-GGA) on Li2IrRu2 after structural relaxation.

Cell: 8.2630 8.2630 8.2630 Å, 160.15 160.15 28.21°
With the nearest neighbours (Å) after each atom.
Fractional coordinates of all 5 atoms:
1 Li 0.2500 0.7500 0.5000  4 Li 2.01
2 Li 0.7500 0.2500 0.5000  4 Li 2.01
3 Ir 0.0000 0.0000 0.0000  8 Ru 2.68, 4 Ir 2.85
4 Ru 0.3895 0.3895 0.0000  4 Li 2.65, 4 Ir 2.68, 4 Ru 2.85
5 Ru 0.6105 0.6105 0.0000  4 Li 2.65, 4 Ir 2.68, 4 Ru 2.85

Computed properties:
The value obtained for the density of states at the Fermi level is 0.962 states/eV per atom. For the formation enthalpy at 0 K, the calculation gives 0.502 eV per atom. For the total DFT energy (no corrections), the calculation gives -5.746 eV/atom. Its crystal system is tetragonal. The calculation puts the distance to the lowest polymorph of the same formula at 0.89 kcal/mol of atoms.

No. 9
VASP calculation (PBE-GGA) on TiAl after structural relaxation.

Cell: 2.8187 2.8187 4.0735 Å, 90.00 90.00 90.00°
With the nearest neighbours (Å) after each atom.
Fractional coordinates of all 2 atoms:
1 Ti 0.0000 0.0000 0.0000  4 Ti 2.82, 8 Al 2.85
2 Al 0.5000 0.5000 0.5000  4 Al 2.82, 8 Ti 2.85

Computed properties:
The value obtained for the density of states at the Fermi level is 0.969 states/eV per atom. For the formation enthalpy at 0 K, the calculation gives -0.406 eV per atom. For the total DFT energy (no corrections), the calculation gives -6.224 eV/atom. Its crystal system is tetragonal.

No. 10
VASP calculation (PBE-GGA) on LiAlPb2 after structural relaxation.

Cell: 5.0295 5.0295 6.1935 Å, 100.94 100.94 39.84°
With the nearest neighbours (Å) after each atom.
Fractional coordinates of all 4 atoms:
1 Li 0.0000 0.0000 0.0000  6 Pb 3.06-3.11
2 Al 0.5000 0.5000 0.5000  6 Pb 3.04-3.09
3 Pb 0.2532 0.2532 0.7475  3 Al 3.04-3.09, 3 Li 3.06-3.11
4 Pb 0.7468 0.7468 0.2525  3 Al 3.04-3.09, 3 Li 3.06-3.11

Computed properties:
The value obtained for the density of states at the Fermi level is 0.360 states/eV per atom. For the formation enthalpy at 0 K, the calculation gives 0.025 eV per atom. For the total DFT energy (no corrections), the calculation gives -3.244 eV/atom. Its crystal system is monoclinic.